Model w:
Entry from the Alexandria database: a relaxed MgVCl2 crystal (PBE).

The structure in POSCAR format:
```
MgVCl2
1.0
1.9732 0.0000 10.9200
-0.9866 1.7088 10.9200
-0.9866 -1.7088 10.9200
Cl Mg V
2 1 1
Cartesian
0.0000 0.0000 28.7651 Cl
0.0000 0.0000 3.9949 Cl
0.0000 0.0000 16.3800 Mg
0.0000 0.0000 0.0000 V
```

As for the magnetization: 3.95 Bohr magnetons per cell. As for the space group: R-3m, No. 166. As for the crystal system: trigonal.

---

Model x:
Entry from the Alexandria database: a relaxed MgVCl2 crystal (PBE).

The structure in POSCAR format:
```
MgVCl2
1.0
4.7617 0.0000 0.0000
0.0000 4.7617 0.0000
2.3808 2.3808 7.8065
Cl Mg V
4 2 2
Cartesian
3.5712 3.5243 5.8549 Cl
3.6182 1.1904 1.9516 Cl
5.9521 5.9990 5.8549 Cl
1.1435 3.5712 1.9516 Cl
2.3808 2.3808 0.0000 Mg
2.3808 4.7617 3.9032 Mg
4.7617 2.3808 3.9032 V
0.0000 0.0000 0.0000 V
```

As for the magnetization: 8.69 Bohr magnetons per cell. As for the space group: I-42d, No. 122. As for the crystal system: tetragonal.

---

Model y:
Entry from the Alexandria database: a relaxed MgVCl2 crystal (PBE).

The structure in POSCAR format:
```
MgVCl2
1.0
0.0000 3.3658 3.3658
3.3658 0.0000 3.3658
3.3658 3.3658 0.0000
Mg Cl V
1 2 1
Cartesian
0.0000 0.0000 0.0000 Mg
1.6829 1.6829 1.6829 Cl
5.0487 5.0487 5.0487 Cl
3.3658 3.3658 3.3658 V
```

As for the magnetization: 3.80 Bohr magnetons per cell. As for the space group: Fm-3m, No. 225. As for the crystal system: cubic.

---

Model z:
Entry from the Alexandria database: a relaxed MgVCl2 crystal (PBE).

The structure in POSCAR format:
```
MgVCl2
1.0
2.0234 0.0000 9.4459
-1.0117 1.7523 9.4459
-1.0117 -1.7523 9.4459
V Cl Mg
1 2 1
Cartesian
0.0000 0.0000 14.1689 V
0.0000 0.0000 3.3078 Cl
0.0000 0.0000 25.0300 Cl
0.0000 0.0000 0.0000 Mg
```

As for the magnetization: 2.99 Bohr magnetons per cell. As for the space group: R-3m, No. 166. As for the crystal system: trigonal.

---

Most stable: model z. Least stable: model y.

---

Model w:
Entry from the Alexandria database: a relaxed MgVCl3 crystal (PBE).

The structure in POSCAR format:
```
MgVCl3
1.0
4.9089 0.0000 0.0000
0.0000 4.9089 0.0000
0.0000 0.0000 4.9089
Cl V Mg
3 1 1
Cartesian
0.0000 0.0000 2.4545 Cl
0.0000 2.4545 0.0000 Cl
2.4545 0.0000 0.0000 Cl
0.0000 0.0000 0.0000 V
2.4545 2.4545 2.4545 Mg
```

As for the magnetization: 3.54 Bohr magnetons per cell. As for the space group: Pm-3m, No. 221. As for the crystal system: cubic.

---

Model x:
Entry from the Alexandria database: a relaxed MgVCl3 crystal (PBE).

The structure in POSCAR format:
```
MgVCl3
1.0
4.8901 0.0000 0.0000
0.0000 4.8901 0.0000
0.0000 0.0000 4.8901
Cl V Mg
3 1 1
Cartesian
2.4451 0.0000 0.0000 Cl
0.0000 0.0000 2.4451 Cl
0.0000 2.4451 0.0000 Cl
2.4451 2.4451 2.4451 V
0.0000 0.0000 0.0000 Mg
```

As for the magnetization: 4.00 Bohr magnetons per cell. As for the space group: Pm-3m, No. 221. As for the crystal system: cubic.

---

Most stable: model w. Least stable: model x.

---

Model w:
Entry from the Alexandria database: a relaxed MgV3Cl crystal (PBE).

The structure in POSCAR format:
```
MgV3Cl
1.0
5.0683 0.0000 0.0000
0.0000 5.0683 0.0000
0.0000 0.0000 5.0683
V Cl Mg
3 1 1
Cartesian
0.0000 2.5341 0.0000 V
0.0000 0.0000 2.5341 V
2.5341 0.0000 0.0000 V
2.5341 2.5341 2.5341 Cl
0.0000 0.0000 0.0000 Mg
```

As for the magnetization: 10.67 Bohr magnetons per cell. As for the space group: Pm-3m, No. 221. As for the crystal system: cubic.

---

Model x:
Entry from the Alexandria database: a relaxed MgV3Cl crystal (PBE).

The structure in POSCAR format:
```
MgV3Cl
1.0
-2.4828 -0.3397 3.5197
-2.4745 -2.9052 -2.0259
2.5259 -3.1800 1.4749
V Mg Cl
3 1 1
Cartesian
-1.2373 -1.4526 -1.0130 V
1.2630 -1.5900 0.7374 V
-1.2414 -0.1699 1.7598 V
-1.2157 -3.2124 1.4843 Mg
0.0000 0.0000 0.0000 Cl
```

As for the magnetization: 2.19 Bohr magnetons per cell. As for the space group: Pm-3m, No. 221. As for the crystal system: cubic.

---

Most stable: model x. Least stable: model w.

---

Model w:
Entry from the Alexandria database: a relaxed Mg2VCl2 crystal (PBE).

The structure in POSCAR format:
```
Mg2VCl2
1.0
-8.2232 3.3969 2.0947
0.5882 -3.7137 8.3313
1.4159 2.7368 1.1200
Mg V Cl
4 2 4
Cartesian
-1.6624 -1.9380 6.8373 Mg
-5.9727 1.6213 3.5888 Mg
-5.7813 -0.1932 7.7806 Mg
-1.8537 -0.1236 2.6455 Mg
0.0000 0.0000 0.0000 V
-3.8175 -0.1584 5.2130 V
-6.2922 2.9470 5.5517 Cl
-2.3315 2.2017 2.3662 Cl
0.0730 -0.5270 5.9943 Cl
-3.8877 0.2184 9.1798 Cl
```

As for the magnetization: 8.34 Bohr magnetons per cell. As for the space group: P4/mbm, No. 127. As for the crystal system: tetragonal.

---

Model x:
Entry from the Alexandria database: a relaxed Mg2VCl2 crystal (PBE).

The structure in POSCAR format:
```
Mg2VCl2
1.0
4.3498 0.0000 0.0000
0.0000 4.3498 0.0000
2.1749 2.1749 5.9989
Cl Mg V
2 2 1
Cartesian
4.3498 2.1749 2.9995 Cl
2.1749 4.3498 2.9995 Cl
2.1749 2.1749 1.4815 Mg
4.3498 4.3498 4.5174 Mg
0.0000 0.0000 0.0000 V
```

As for the magnetization: 4.40 Bohr magnetons per cell. As for the space group: I4/mmm, No. 139. As for the crystal system: tetragonal.

---

Most stable: model x. Least stable: model w.

---

Model w:
Entry from the Alexandria database: a relaxed Mg2WCl crystal (PBE).

The structure in POSCAR format:
```
Mg2WCl
1.0
-3.1056 3.4679 -1.2719
-0.8732 0.8641 -4.6669
-4.2734 -1.1706 -1.9123
Cl W Mg
1 1 2
Cartesian
-4.1261 1.5808 -3.9256 Cl
-2.0631 0.7904 -1.9628 W
-6.1892 2.3711 -5.8884 Mg
0.0000 0.0000 0.0000 Mg
```

As for the magnetization: 2.96 Bohr magnetons per cell. As for the space group: F-43m, No. 216. As for the crystal system: cubic.

---

Model x:
Entry from the Alexandria database: a relaxed Mg2WCl crystal (PBE).

The structure in POSCAR format:
```
Mg2WCl
1.0
-5.6670 3.4587 3.2537
-4.3925 -1.8932 -5.6379
-5.7397 -1.6782 0.1874
Mg W Cl
4 2 2
Cartesian
-12.9578 0.1754 -1.7544 Mg
-5.0809 -1.0531 -2.9598 Mg
-5.3336 1.3882 1.2653 Mg
-8.2261 -0.7358 -0.9448 Mg
-8.2182 1.2817 1.1245 W
0.0000 0.0000 0.0000 W
-7.5810 -1.3943 -3.3213 Cl
-5.0298 0.7828 -1.1921 Cl
```

As for the magnetization: 4.63 Bohr magnetons per cell. As for the space group: I-42d, No. 122. As for the crystal system: tetragonal.

---

Model y:
Entry from the Alexandria database: a relaxed Mg2WCl crystal (PBE).

The structure in POSCAR format:
```
Mg2WCl
1.0
-1.4125 -1.2795 -2.3090
2.3515 -1.3975 1.2170
-6.6734 -5.1759 6.9505
W Mg Cl
1 2 1
Cartesian
-3.3732 -2.6162 3.5132 W
-0.1872 -0.1452 0.1950 Mg
-1.4225 -2.8059 1.4245 Mg
-4.0883 -4.8735 4.2010 Cl
```

As for the magnetization: 0.00 Bohr magnetons per cell. As for the space group: Cmm2, No. 35. As for the crystal system: orthorhombic.

---

Most stable: model y. Least stable: model w.

---

Model w:
Entry from the Alexandria database: a relaxed MgWCl crystal (PBE).

The structure in POSCAR format:
```
MgWCl
1.0
7.1771 -0.0089 0.0054
6.1705 2.8952 -0.0088
1.0066 -1.3789 2.5559
Mg W Cl
1 1 1
Cartesian
5.1741 0.0614 1.6917 Mg
9.1807 1.4461 0.8607 W
13.3470 2.8860 -0.0033 Cl
```

As for the magnetization: 0.00 Bohr magnetons per cell. As for the space group: Fmm2, No. 42. As for the crystal system: orthorhombic.

---

Model x:
Entry from the Alexandria database: a relaxed MgWCl crystal (PBE).

The structure in POSCAR format:
```
MgWCl
1.0
-2.9669 1.5027 2.6661
-1.1887 -2.3041 3.3833
1.0982 1.2521 3.9236
Mg Cl W
1 1 1
Cartesian
0.0000 0.0000 0.0000 Mg
-2.2930 0.3381 7.4798 Cl
-1.5287 0.2254 4.9865 W
```

As for the magnetization: 0.34 Bohr magnetons per cell. As for the space group: F-43m, No. 216. As for the crystal system: cubic.

---

Model y:
Entry from the Alexandria database: a relaxed MgWCl crystal (PBE).

The structure in POSCAR format:
```
MgWCl
1.0
-3.5432 -2.8853 -0.2536
3.8796 -0.9380 -2.2389
0.9800 -1.4045 2.2866
Cl W Mg
1 1 1
Cartesian
0.8168 -1.1706 1.9058 Cl
2.2219 -2.7574 0.3282 W
-0.7423 -2.7044 -0.1532 Mg
```

As for the magnetization: 0.00 Bohr magnetons per cell. As for the space group: P-6m2, No. 187. As for the crystal system: hexagonal.

---

Most stable: model w. Least stable: model x.